# PBE ZrCdIr2, relaxed
# E_tot in eV/atom: -7.012
# Calculated volume in Å³/cell: 70.12
# ΔH_f (0 K) in eV/f.u.: -0.86
# D(E_F) in states/eV/f.u.: 2.45
data_ZrCdIr2
_symmetry_space_group_name_H-M 'P 1'
_symmetry_Int_Tables_number 1
_symmetry_space_group_name_Hall 'P 1'
_cell_length_a 4.195
_cell_length_b 2.989
_cell_length_c 6.305
_cell_angle_alpha 62.52
_cell_angle_beta 90.00
_cell_angle_gamma 90.00
loop_
_atom_site_label
_atom_site_fract_x
_atom_site_fract_y
_atom_site_fract_z
Cd1 0.500 0.733 0.775
Ir1 0.000 0.026 0.985
Ir2 0.500 0.210 0.267
Zr1 0.000 0.532 0.474

=====

# PBE ZrCdIr, relaxed
# E_tot in eV/atom: -6.498
# Calculated volume in Å³/cell: 57.67
# ΔH_f (0 K) in eV/f.u.: -1.17
# D(E_F) in states/eV/f.u.: 1.84
data_ZrCdIr
_symmetry_space_group_name_H-M 'P 1'
_symmetry_Int_Tables_number 1
_symmetry_space_group_name_Hall 'P 1'
_cell_length_a 5.287
_cell_length_b 5.287
_cell_length_c 5.287
_cell_angle_alpha 141.16
_cell_angle_beta 141.16
_cell_angle_gamma 56.09
loop_
_atom_site_label
_atom_site_fract_x
_atom_site_fract_y
_atom_site_fract_z
Cd1 0.996 0.996 0.000
Ir1 0.318 0.318 0.000
Zr1 0.686 0.686 0.000

=====

# PBE ZrCdIr, relaxed
# E_tot in eV/atom: -6.367
# Calculated volume in Å³/cell: 65.98
# ΔH_f (0 K) in eV/f.u.: -0.78
# D(E_F) in states/eV/f.u.: 2.03
data_ZrCdIr
_symmetry_space_group_name_H-M 'P 1'
_symmetry_Int_Tables_number 1
_symmetry_space_group_name_Hall 'P 1'
_cell_length_a 4.536
_cell_length_b 4.536
_cell_length_c 4.536
_cell_angle_alpha 60.00
_cell_angle_beta 60.00
_cell_angle_gamma 60.00
loop_
_atom_site_label
_atom_site_fract_x
_atom_site_fract_y
_atom_site_fract_z
Cd1 0.500 0.500 0.500
Ir1 0.750 0.750 0.750
Zr1 0.000 0.000 0.000

=====

# PBE Zr4CdIr, relaxed
# E_tot in eV/atom: -7.037
# Calculated volume in Å³/cell: 125.97
# ΔH_f (0 K) in eV/f.u.: 1.75
# D(E_F) in states/eV/f.u.: 7.36
data_Zr4CdIr
_symmetry_space_group_name_H-M 'P 1'
_symmetry_Int_Tables_number 1
_symmetry_space_group_name_Hall 'P 1'
_cell_length_a 5.627
_cell_length_b 5.627
_cell_length_c 5.627
_cell_angle_alpha 60.00
_cell_angle_beta 60.00
_cell_angle_gamma 60.00
loop_
_atom_site_label
_atom_site_fract_x
_atom_site_fract_y
_atom_site_fract_z
Zr1 0.879 0.374 0.374
Zr2 0.374 0.374 0.879
Zr3 0.374 0.879 0.374
Zr4 0.374 0.374 0.374
Cd1 0.750 0.750 0.750
Ir1 0.000 0.000 0.000

=====

# PBE ZrCd3Ir, relaxed
# E_tot in eV/atom: -3.342
# Calculated volume in Å³/cell: 129.69
# ΔH_f (0 K) in eV/f.u.: 3.45
# D(E_F) in states/eV/f.u.: 4.59
data_ZrCd3Ir
_symmetry_space_group_name_H-M 'P 1'
_symmetry_Int_Tables_number 1
_symmetry_space_group_name_Hall 'P 1'
_cell_length_a 5.062
_cell_length_b 5.062
_cell_length_c 5.062
_cell_angle_alpha 90.00
_cell_angle_beta 90.00
_cell_angle_gamma 90.00
loop_
_atom_site_label
_atom_site_fract_x
_atom_site_fract_y
_atom_site_fract_z
Ir1 0.000 0.000 0.000
Zr1 0.500 0.500 0.500
Cd1 0.000 0.500 0.000
Cd2 0.000 0.000 0.500
Cd3 0.500 0.000 0.000

=====

# PBE ZrCdIr2, relaxed
# E_tot in eV/atom: -6.969
# Calculated volume in Å³/cell: 70.24
# ΔH_f (0 K) in eV/f.u.: -0.69
# D(E_F) in states/eV/f.u.: 3.56
data_ZrCdIr2
_symmetry_space_group_name_H-M 'P 1'
_symmetry_Int_Tables_number 1
_symmetry_space_group_name_Hall 'P 1'
_cell_length_a 4.839
_cell_length_b 4.839
_cell_length_c 5.103
_cell_angle_alpha 77.54
_cell_angle_beta 77.54
_cell_angle_gamma 37.14
loop_
_atom_site_label
_atom_site_fract_x
_atom_site_fract_y
_atom_site_fract_z
Cd1 0.250 0.250 0.250
Ir1 0.006 0.006 0.999
Ir2 0.494 0.494 0.501
Zr1 0.750 0.750 0.750

=====

# PBE ZrCdIr4, relaxed
# E_tot in eV/atom: -7.809
# Calculated volume in Å³/cell: 102.53
# ΔH_f (0 K) in eV/f.u.: -1.95
# D(E_F) in states/eV/f.u.: 6.80
data_ZrCdIr4
_symmetry_space_group_name_H-M 'P 1'
_symmetry_Int_Tables_number 1
_symmetry_space_group_name_Hall 'P 1'
_cell_length_a 5.254
_cell_length_b 5.254
_cell_length_c 5.254
_cell_angle_alpha 60.00
_cell_angle_beta 60.00
_cell_angle_gamma 60.00
loop_
_atom_site_label
_atom_site_fract_x
_atom_site_fract_y
_atom_site_fract_z
Zr1 0.750 0.750 0.750
Cd1 0.000 0.000 0.000
Ir1 0.876 0.375 0.375
Ir2 0.375 0.375 0.876
Ir3 0.375 0.876 0.375
Ir4 0.375 0.375 0.375

=====

# PBE ZrCd2Ir, relaxed
# E_tot in eV/atom: -4.997
# Calculated volume in Å³/cell: 77.11
# ΔH_f (0 K) in eV/f.u.: -0.75
# D(E_F) in states/eV/f.u.: 1.34
data_ZrCd2Ir
_symmetry_space_group_name_H-M 'P 1'
_symmetry_Int_Tables_number 1
_symmetry_space_group_name_Hall 'P 1'
_cell_length_a 3.999
_cell_length_b 3.996
_cell_length_c 4.826
_cell_angle_alpha 90.00
_cell_angle_beta 90.00
_cell_angle_gamma 90.00
loop_
_atom_site_label
_atom_site_fract_x
_atom_site_fract_y
_atom_site_fract_z
Cd1 0.000 0.000 0.000
Cd2 0.500 0.500 0.000
Ir1 0.500 0.000 0.500
Zr1 0.000 0.500 0.500

=====

# PBE ZrCdIr2, relaxed
# E_tot in eV/atom: -6.693
# Calculated volume in Å³/cell: 154.78
# ΔH_f (0 K) in eV/f.u.: 0.41
# D(E_F) in states/eV/f.u.: 0.56
data_ZrCdIr2
_symmetry_space_group_name_H-M 'P 1'
_symmetry_Int_Tables_number 1
_symmetry_space_group_name_Hall 'P 1'
_cell_length_a 7.292
_cell_length_b 7.292
_cell_length_c 5.921
_cell_angle_alpha 51.99
_cell_angle_beta 51.99
_cell_angle_gamma 90.00
loop_
_atom_site_label
_atom_site_fract_x
_atom_site_fract_y
_atom_site_fract_z
Ir1 0.607 0.125 0.250
Ir2 0.143 0.625 0.250
Ir3 0.375 0.393 0.750
Ir4 0.875 0.857 0.750
Zr1 0.500 0.500 0.000
Zr2 0.250 0.750 0.500
Cd1 0.000 0.000 0.000
Cd2 0.750 0.250 0.500

=====

# PBE ZrCd2Ir, relaxed
# E_tot in eV/atom: -4.628
# Calculated volume in Å³/cell: 77.39
# ΔH_f (0 K) in eV/f.u.: 0.73
# D(E_F) in states/eV/f.u.: 2.87
data_ZrCd2Ir
_symmetry_space_group_name_H-M 'P 1'
_symmetry_Int_Tables_number 1
_symmetry_space_group_name_Hall 'P 1'
_cell_length_a 2.922
_cell_length_b 2.922
_cell_length_c 9.954
_cell_angle_alpha 90.00
_cell_angle_beta 90.00
_cell_angle_gamma 114.40
loop_
_atom_site_label
_atom_site_fract_x
_atom_site_fract_y
_atom_site_fract_z
Cd1 0.000 0.000 0.019
Cd2 0.000 0.000 0.481
Ir1 0.500 0.500 0.250
Zr1 0.500 0.500 0.750

=====

# PBE ZrCd2Ir2, relaxed
# E_tot in eV/atom: -5.737
# Calculated volume in Å³/cell: 196.85
# ΔH_f (0 K) in eV/f.u.: -0.58
# D(E_F) in states/eV/f.u.: 2.50
data_ZrCd2Ir2
_symmetry_space_group_name_H-M 'P 1'
_symmetry_Int_Tables_number 1
_symmetry_space_group_name_Hall 'P 1'
_cell_length_a 6.873
_cell_length_b 6.873
_cell_length_c 4.167
_cell_angle_alpha 90.00
_cell_angle_beta 90.00
_cell_angle_gamma 90.00
loop_
_atom_site_label
_atom_site_fract_x
_atom_site_fract_y
_atom_site_fract_z
Ir1 0.370 0.870 0.000
Ir2 0.870 0.630 0.000
Ir3 0.630 0.130 0.000
Ir4 0.130 0.370 0.000
Zr1 0.000 0.000 0.000
Zr2 0.500 0.500 0.000
Cd1 0.171 0.671 0.500
Cd2 0.671 0.829 0.500
Cd3 0.829 0.329 0.500
Cd4 0.329 0.171 0.500

=====

# PBE K4Cd5, relaxed
# E_tot in eV/atom: -0.947
# Calculated volume in Å³/cell: 680.88
# ΔH_f (0 K) in eV/f.u.: 0.44
# D(E_F) in states/eV/f.u.: 7.12
data_K4Cd5
_symmetry_space_group_name_H-M 'P 1'
_symmetry_Int_Tables_number 1
_symmetry_space_group_name_Hall 'P 1'
_cell_length_a 10.498
_cell_length_b 10.498
_cell_length_c 7.134
_cell_angle_alpha 90.00
_cell_angle_beta 90.00
_cell_angle_gamma 120.00
loop_
_atom_site_label
_atom_site_fract_x
_atom_site_fract_y
_atom_site_fract_z
K1 0.000 0.000 0.000
K2 0.000 0.000 0.500
K3 0.000 0.368 0.250
K4 0.632 0.632 0.250
K5 0.368 0.000 0.250
K6 0.000 0.632 0.750
K7 0.368 0.368 0.750
K8 0.632 0.000 0.750
Cd1 0.000 0.691 0.250
Cd2 0.309 0.309 0.250
Cd3 0.691 0.000 0.250
Cd4 0.000 0.309 0.750
Cd5 0.691 0.691 0.750
Cd6 0.309 0.000 0.750
Cd7 0.667 0.333 0.000
Cd8 0.333 0.667 0.500
Cd9 0.333 0.667 0.000
Cd10 0.667 0.333 0.500

=====

# PBE KCd, relaxed
# E_tot in eV/atom: -1.013
# Calculated volume in Å³/cell: 1228.52
# ΔH_f (0 K) in eV/f.u.: -0.01
# D(E_F) in states/eV/f.u.: 1.32
data_KCd
_symmetry_space_group_name_H-M 'P 1'
_symmetry_Int_Tables_number 1
_symmetry_space_group_name_Hall 'P 1'
_cell_length_a 6.572
_cell_length_b 17.953
_cell_length_c 10.412
_cell_angle_alpha 90.00
_cell_angle_beta 90.00
_cell_angle_gamma 90.00
loop_
_atom_site_label
_atom_site_fract_x
_atom_site_fract_y
_atom_site_fract_z
K1 0.000 0.000 0.668
K2 0.000 0.000 0.332
K3 0.250 0.750 0.582
K4 0.250 0.750 0.918
K5 0.000 0.500 0.168
K6 0.000 0.500 0.832
K7 0.250 0.250 0.082
K8 0.250 0.250 0.418
K9 0.500 0.000 0.168
K10 0.500 0.000 0.832
K11 0.750 0.750 0.082
K12 0.750 0.750 0.418
K13 0.500 0.500 0.668
K14 0.500 0.500 0.332
K15 0.750 0.250 0.582
K16 0.750 0.250 0.918
Cd1 0.000 0.083 0.000
Cd2 0.000 0.917 0.000
Cd3 0.250 0.667 0.250
Cd4 0.250 0.833 0.250
Cd5 0.000 0.583 0.500
Cd6 0.000 0.417 0.500
Cd7 0.250 0.167 0.750
Cd8 0.250 0.333 0.750
Cd9 0.500 0.083 0.500
Cd10 0.500 0.917 0.500
Cd11 0.750 0.667 0.750
Cd12 0.750 0.833 0.750
Cd13 0.500 0.583 0.000
Cd14 0.500 0.417 0.000
Cd15 0.750 0.167 0.250
Cd16 0.750 0.333 0.250

=====

# PBE K2Cd, relaxed
# E_tot in eV/atom: -0.967
# Calculated volume in Å³/cell: 169.85
# ΔH_f (0 K) in eV/f.u.: 0.21
# D(E_F) in states/eV/f.u.: 1.64
data_K2Cd
_symmetry_space_group_name_H-M 'P 1'
_symmetry_Int_Tables_number 1
_symmetry_space_group_name_Hall 'P 1'
_cell_length_a 5.215
_cell_length_b 5.215
_cell_length_c 7.213
_cell_angle_alpha 90.00
_cell_angle_beta 90.00
_cell_angle_gamma 120.00
loop_
_atom_site_label
_atom_site_fract_x
_atom_site_fract_y
_atom_site_fract_z
Cd1 0.000 0.000 0.000
K1 0.667 0.333 0.731
K2 0.333 0.667 0.269

=====

# PBE KCd, relaxed
# E_tot in eV/atom: -0.656
# Calculated volume in Å³/cell: 1017.91
# ΔH_f (0 K) in eV/f.u.: 0.70
# D(E_F) in states/eV/f.u.: 3.23
data_KCd
_symmetry_space_group_name_H-M 'P 1'
_symmetry_Int_Tables_number 1
_symmetry_space_group_name_Hall 'P 1'
_cell_length_a 10.059
_cell_length_b 10.059
_cell_length_c 10.059
_cell_angle_alpha 90.00
_cell_angle_beta 90.00
_cell_angle_gamma 90.00
loop_
_atom_site_label
_atom_site_fract_x
_atom_site_fract_y
_atom_site_fract_z
K1 0.250 0.000 0.500
K2 0.750 0.000 0.500
K3 0.000 0.500 0.250
K4 0.000 0.500 0.750
K5 0.500 0.250 0.000
K6 0.500 0.750 0.000
Cd1 0.250 0.500 0.000
Cd2 0.750 0.500 0.000
Cd3 0.500 0.000 0.250
Cd4 0.500 0.000 0.750
Cd5 0.000 0.250 0.500
Cd6 0.000 0.750 0.500

=====

# PBE K3Cd5, relaxed
# E_tot in eV/atom: -1.024
# Calculated volume in Å³/cell: 579.03
# ΔH_f (0 K) in eV/f.u.: -0.32
# D(E_F) in states/eV/f.u.: 3.99
data_K3Cd5
_symmetry_space_group_name_H-M 'P 1'
_symmetry_Int_Tables_number 1
_symmetry_space_group_name_Hall 'P 1'
_cell_length_a 7.090
_cell_length_b 9.053
_cell_length_c 9.840
_cell_angle_alpha 86.18
_cell_angle_beta 68.88
_cell_angle_gamma 79.35
loop_
_atom_site_label
_atom_site_fract_x
_atom_site_fract_y
_atom_site_fract_z
K1 0.220 0.000 0.061
K2 0.781 0.000 0.939
K3 0.848 0.201 0.500
K4 0.153 0.798 0.500
K5 0.841 0.500 0.818
K6 0.159 0.500 0.182
Cd1 0.653 0.595 0.500
Cd2 0.348 0.404 0.500
Cd3 0.304 0.667 0.819
Cd4 0.696 0.333 0.181
Cd5 0.414 0.118 0.331
Cd6 0.587 0.881 0.669
Cd7 0.377 0.333 0.819
Cd8 0.624 0.667 0.181
Cd9 0.756 0.881 0.331
Cd10 0.245 0.118 0.669

=====

# PBE K2Cd3, relaxed
# E_tot in eV/atom: -1.086
# Calculated volume in Å³/cell: 178.50
# ΔH_f (0 K) in eV/f.u.: -0.49
# D(E_F) in states/eV/f.u.: 1.90
data_K2Cd3
_symmetry_space_group_name_H-M 'P 1'
_symmetry_Int_Tables_number 1
_symmetry_space_group_name_Hall 'P 1'
_cell_length_a 5.075
_cell_length_b 6.149
_cell_length_c 6.972
_cell_angle_alpha 116.16
_cell_angle_beta 111.34
_cell_angle_gamma 90.00
loop_
_atom_site_label
_atom_site_fract_x
_atom_site_fract_y
_atom_site_fract_z
K1 0.803 0.303 0.606
K2 0.197 0.697 0.394
Cd1 0.000 0.000 0.000
Cd2 0.500 0.747 0.000
Cd3 0.500 0.253 0.000

=====

# PBE K5Cd, relaxed
# E_tot in eV/atom: -1.069
# Calculated volume in Å³/cell: 361.41
# ΔH_f (0 K) in eV/f.u.: -0.01
# D(E_F) in states/eV/f.u.: 4.01
data_K5Cd
_symmetry_space_group_name_H-M 'P 1'
_symmetry_Int_Tables_number 1
_symmetry_space_group_name_Hall 'P 1'
_cell_length_a 4.466
_cell_length_b 4.466
_cell_length_c 18.116
_cell_angle_alpha 90.00
_cell_angle_beta 90.00
_cell_angle_gamma 90.00
loop_
_atom_site_label
_atom_site_fract_x
_atom_site_fract_y
_atom_site_fract_z
Cd1 0.500 0.500 0.000
K1 0.000 0.000 0.884
K2 0.000 0.000 0.116
K3 0.500 0.500 0.694
K4 0.500 0.500 0.306
K5 0.000 0.000 0.500

=====

# PBE K3Cd11, relaxed
# E_tot in eV/atom: -1.036
# Calculated volume in Å³/cell: 397.02
# ΔH_f (0 K) in eV/f.u.: -1.15
# D(E_F) in states/eV/f.u.: 5.99
data_K3Cd11
_symmetry_space_group_name_H-M 'P 1'
_symmetry_Int_Tables_number 1
_symmetry_space_group_name_Hall 'P 1'
_cell_length_a 5.069
_cell_length_b 9.481
_cell_length_c 9.481
_cell_angle_alpha 66.88
_cell_angle_beta 74.49
_cell_angle_gamma 74.49
loop_
_atom_site_label
_atom_site_fract_x
_atom_site_fract_y
_atom_site_fract_z
K1 0.000 0.000 0.000
K2 0.297 0.703 0.703
K3 0.703 0.297 0.297
Cd1 0.668 0.687 0.978
Cd2 0.868 0.420 0.844
Cd3 0.668 0.978 0.687
Cd4 0.500 0.315 0.685
Cd5 0.132 0.156 0.580
Cd6 0.000 0.500 0.500
Cd7 0.868 0.844 0.420
Cd8 0.500 0.685 0.315
Cd9 0.332 0.022 0.313
Cd10 0.132 0.580 0.156
Cd11 0.332 0.313 0.022

=====

# PBE KCd, relaxed
# E_tot in eV/atom: -0.883
# Calculated volume in Å³/cell: 94.20
# ΔH_f (0 K) in eV/f.u.: 0.25
# D(E_F) in states/eV/f.u.: 2.34
data_KCd
_symmetry_space_group_name_H-M 'P 1'
_symmetry_Int_Tables_number 1
_symmetry_space_group_name_Hall 'P 1'
_cell_length_a 5.107
_cell_length_b 5.107
_cell_length_c 5.107
_cell_angle_alpha 60.00
_cell_angle_beta 60.00
_cell_angle_gamma 60.00
loop_
_atom_site_label
_atom_site_fract_x
_atom_site_fract_y
_atom_site_fract_z
Cd1 0.000 0.000 0.000
K1 0.500 0.500 0.500